Crystalline Mn2FeTc at its relaxed geometry. Source: the Alexandria database, functional GGA-PBE.

Computed properties:
**Formation energy**: 79 meV/atom
**Symmetry**: Cmcm (63)
**Magnetization**: 0.000 μB/atom
**E_tot**: -9.213 eV/atom

a = 4.8237 Å, b = 4.8237 Å, c = 7.8157 Å
α = 90.00°, β = 90.00°, γ = 149.13°
Fractional positions:
Mn1 0.1391 0.8609 0.5175
Mn2 0.1391 0.8609 0.9825
Mn3 0.8609 0.1391 0.0175
Mn4 0.8609 0.1391 0.4825
Fe1 0.2560 0.7440 0.2500
Fe2 0.7440 0.2560 0.7500
Tc1 0.4767 0.5233 0.7500
Tc2 0.5233 0.4767 0.2500

=====

Crystalline Tm5In2Ga at its relaxed geometry. Source: the Alexandria database, functional GGA-PBE.

Computed properties:
**Formation energy**: -299 meV/atom
**Symmetry**: I4/mmm (139)
**Magnetization**: 0.000 μB/atom
**E_tot**: -4.156 eV/atom

a = 6.5739 Å, b = 6.5739 Å, c = 6.5739 Å
α = 117.84°, β = 117.84°, γ = 93.79°
Fractional positions:
Tm1 0.0000 0.0000 0.0000
Tm2 0.0000 0.0000 0.5000
Tm3 0.0000 0.5000 0.0000
Tm4 0.5000 0.0000 0.0000
Tm5 0.5000 0.5000 0.5000
In1 0.0000 0.5000 0.5000
In2 0.5000 0.0000 0.5000
Ga1 0.5000 0.5000 0.0000

=====

Crystalline Cd2PtO2 at its relaxed geometry. Source: the Alexandria database, functional GGA-PBE.

Computed properties:
**Symmetry**: I4/mmm (139)
**ΔE_f (raw)**: -0.518 eV per atom
**Distance to the lowest polymorph of the same formula**: 0.000 eV/atom
**Magnetization**: 0.000 μB/atom
**E_tot**: -4.076 eV/atom

a = 5.0748 Å, b = 5.0748 Å, c = 5.0748 Å
α = 125.19°, β = 125.19°, γ = 81.23°
Fractional positions:
Cd1 0.2500 0.7500 0.5000
Cd2 0.7500 0.2500 0.5000
Pt1 0.0000 0.0000 0.0000
O1 0.2684 0.2684 0.0000
O2 0.7316 0.7316 0.0000

=====

Crystalline Nd2ScPd4 at its relaxed geometry. Source: the Alexandria database, functional GGA-PBE.

Computed properties:
**Formation energy**: -373 meV/atom
**Symmetry**: Fmmm (69)
**Magnetization**: 0.000 μB/atom
**E_tot**: -5.607 eV/atom

a = 8.2514 Å, b = 8.2487 Å, c = 4.8019 Å
α = 73.11°, β = 73.05°, γ = 33.84°
Fractional positions:
Nd1 0.1418 0.1418 0.8582
Nd2 0.8582 0.8582 0.1418
Sc1 0.5000 0.5000 0.5000
Pd1 0.0000 0.0000 0.5000
Pd2 0.3298 0.3298 0.6702
Pd3 0.5000 0.5000 0.0000
Pd4 0.6702 0.6702 0.3298

=====

Crystalline Er3BiAsN at its relaxed geometry. Source: the Alexandria database, functional GGA-PBE.

Computed properties:
**Symmetry**: P2_1/m (11)
**ΔE_f (raw)**: -1.217 eV per atom
**Magnetization**: 0.000 μB/atom
**E_tot**: -6.308 eV/atom

a = 8.8261 Å, b = 4.0834 Å, c = 9.1593 Å
α = 90.00°, β = 100.60°, γ = 90.00°
Fractional positions:
Er1 0.0861 0.2500 0.3580
Er2 0.3505 0.2500 0.9902
Er3 0.3757 0.7500 0.6697
Er4 0.6243 0.2500 0.3303
Er5 0.6495 0.7500 0.0098
Er6 0.9139 0.7500 0.6420
Bi1 0.3305 0.7500 0.2917
Bi2 0.6695 0.2500 0.7083
As1 0.1431 0.2500 0.6698
As2 0.8569 0.7500 0.3302
N1 0.4074 0.7500 0.9044
N2 0.5926 0.2500 0.0956

=====

Crystalline Mg4ZnCu8 at its relaxed geometry. Source: the Alexandria database, functional GGA-PBE.

Computed properties:
**Formation energy**: 8 meV/atom
**Symmetry**: I4/m (87)
**Distance to the lowest polymorph of the same formula**: 0.000 eV/atom
**Magnetization**: 0.000 μB/atom
**E_tot**: -3.102 eV/atom

a = 8.4141 Å, b = 8.4141 Å, c = 8.4141 Å
α = 91.68°, β = 91.68°, γ = 160.31°
Fractional positions:
Mg1 0.0567 0.2015 0.2582
Mg2 0.2015 0.9433 0.1448
Mg3 0.7985 0.0567 0.8552
Mg4 0.9433 0.7985 0.7418
Zn1 0.5000 0.5000 0.0000
Cu1 0.1210 0.4789 0.5999
Cu2 0.1719 0.7089 0.8808
Cu3 0.2911 0.1719 0.4630
Cu4 0.4789 0.8790 0.3580
Cu5 0.5211 0.1210 0.6420
Cu6 0.7089 0.8281 0.5370
Cu7 0.8281 0.2911 0.1192
Cu8 0.8790 0.5211 0.4001

=====

Crystalline Ge2TeF at its relaxed geometry. Source: the Alexandria database, functional GGA-PBE.

Computed properties:
**Symmetry**: I-42d (122)
**ΔE_f (raw)**: -0.491 eV per atom
**Distance to the lowest polymorph of the same formula**: 0.000 eV/atom
**Magnetization**: 0.000 μB/atom
**E_tot**: -4.053 eV/atom

a = 8.5334 Å, b = 8.5334 Å, c = 8.5334 Å
α = 146.80°, β = 146.80°, γ = 47.66°
Fractional positions:
Ge1 0.0000 0.6250 0.8750
Ge2 0.3750 0.2500 0.3750
Ge3 0.7500 0.1250 0.1250
Ge4 0.8750 0.0000 0.6250
Te1 0.2500 0.7500 0.5000
Te2 0.5000 0.5000 0.0000
F1 0.0000 0.0000 0.0000
F2 0.7500 0.2500 0.5000

=====

Crystalline Rb2HgS at its relaxed geometry. Source: the Alexandria database, functional GGA-PBE.

Computed properties:
**Symmetry**: R3m (160)
**ΔE_f (raw)**: -0.695 eV per atom
**Distance to the lowest polymorph of the same formula**: 0.000 eV/atom
**Magnetization**: 0.000 μB/atom
**E_tot**: -2.286 eV/atom

a = 8.0361 Å, b = 8.0361 Å, c = 8.0361 Å
α = 38.64°, β = 38.64°, γ = 38.64°
Fractional positions:
Rb1 0.0000 0.0000 0.0000
Rb2 0.2176 0.2176 0.2176
Hg1 0.4646 0.4646 0.4646
S1 0.5957 0.5957 0.5957

=====

Crystalline Hg2AuI2 at its relaxed geometry. Source: the Alexandria database, functional GGA-PBE.

Computed properties:
**Symmetry**: P-1 (2)
**ΔE_f (raw)**: -0.085 eV per atom
**Distance to the lowest polymorph of the same formula**: 0.000 eV/atom
**Magnetization**: 0.000 μB/atom
**E_tot**: -1.482 eV/atom

a = 6.1330 Å, b = 8.3377 Å, c = 9.0258 Å
α = 75.85°, β = 70.38°, γ = 82.69°
Fractional positions:
Hg1 0.2433 0.0833 0.0045
Hg2 0.2566 0.4174 0.9955
Hg3 0.7434 0.5826 0.0045
Hg4 0.7567 0.9167 0.9955
Au1 0.2502 0.7503 0.0000
Au2 0.7498 0.2497 0.0000
I1 0.1045 0.6895 0.3171
I2 0.3959 0.8108 0.6829
I3 0.6041 0.1892 0.3171
I4 0.8955 0.3105 0.6829

=====

Crystalline Cs2HgTe2Pd at its relaxed geometry. Source: the Alexandria database, functional GGA-PBE.

Computed properties:
**Symmetry**: Ibam (72)
**ΔE_f (raw)**: -0.546 eV per atom
**Magnetization**: 0.000 μB/atom
**E_tot**: -2.793 eV/atom

a = 9.6278 Å, b = 9.6278 Å, c = 9.6278 Å
α = 123.35°, β = 74.75°, γ = 135.50°
Fractional positions:
Cs1 0.1593 0.2485 0.4078
Cs2 0.3407 0.7485 0.0892
Cs3 0.6593 0.2515 0.9108
Cs4 0.8407 0.7515 0.5922
Hg1 0.2500 0.7500 0.5000
Hg2 0.7500 0.2500 0.5000
Te1 0.0834 0.8337 0.9172
Te2 0.4166 0.3337 0.7503
Te3 0.5834 0.6663 0.2497
Te4 0.9166 0.1663 0.0828
Pd1 0.2500 0.2500 0.0000
Pd2 0.7500 0.7500 0.0000

=====

Crystalline NdYAu at its relaxed geometry. Source: the Alexandria database, functional GGA-PBE.

Computed properties:
**Formation energy**: -514 meV/atom
**Symmetry**: I4mm (107)
**Distance to the lowest polymorph of the same formula**: 0.064 eV/atom
**Magnetization**: 0.255 μB/atom
**E_tot**: -5.350 eV/atom

a = 6.8202 Å, b = 6.8202 Å, c = 6.8202 Å
α = 148.90°, β = 148.90°, γ = 44.56°
Fractional positions:
Nd1 0.0000 0.0000 0.0000
Y1 0.2877 0.2877 0.0000
Au1 0.6573 0.6573 0.0000

=====

Crystalline BeReCl2 at its relaxed geometry. Source: the Alexandria database, functional GGA-PBE.

Computed properties:
**Symmetry**: Immm (71)
**ΔE_f (raw)**: 0.077 eV per atom
**Distance to the lowest polymorph of the same formula**: 0.177 eV/atom
**Magnetization**: 0.000 μB/atom
**E_tot**: -4.890 eV/atom

a = 7.7542 Å, b = 7.7542 Å, c = 7.7542 Å
α = 156.95°, β = 153.98°, γ = 35.03°
Fractional positions:
Be1 0.0000 0.0000 0.0000
Re1 0.5000 0.5000 0.0000
Cl1 0.3702 0.8702 0.5000
Cl2 0.6298 0.1298 0.5000

=====

Crystalline La2RePt at its relaxed geometry. Source: the Alexandria database, functional GGA-PBE.

Computed properties:
**Formation energy**: 30 meV/atom
**Symmetry**: P4mm (99)
**Distance to the lowest polymorph of the same formula**: 0.278 eV/atom
**Magnetization**: 0.000 μB/atom
**E_tot**: -7.056 eV/atom

a = 3.6023 Å, b = 3.6023 Å, c = 8.2154 Å
α = 90.00°, β = 90.00°, γ = 90.00°
Fractional positions:
La1 0.0000 0.0000 0.0000
La2 0.5000 0.5000 0.4223
Re1 0.5000 0.5000 0.7512
Pt1 0.0000 0.0000 0.6377

=====

Crystalline Ag3As at its relaxed geometry. Source: the Alexandria database, functional GGA-PBE.

Computed properties:
**Formation energy**: 95 meV/atom
**Symmetry**: I4/mmm (139)
**Magnetization**: 0.000 μB/atom
**E_tot**: -3.205 eV/atom

a = 8.8627 Å, b = 8.8627 Å, c = 8.8627 Å
α = 152.75°, β = 152.75°, γ = 38.92°
Fractional positions:
Ag1 0.0000 0.5000 0.5000
Ag2 0.1232 0.1232 0.0000
Ag3 0.2500 0.7500 0.5000
Ag4 0.5000 0.0000 0.5000
Ag5 0.7500 0.2500 0.5000
Ag6 0.8768 0.8768 0.0000
As1 0.3717 0.3717 0.0000
As2 0.6283 0.6283 0.0000

=====

Crystalline VRu2Pt at its relaxed geometry. Source: the Alexandria database, functional GGA-PBE.

Computed properties:
**Formation energy**: 63 meV/atom
**Symmetry**: Fm-3m (225)
**Magnetization**: 0.000 μB/atom
**E_tot**: -8.364 eV/atom

a = 4.3392 Å, b = 4.3392 Å, c = 4.3392 Å
α = 60.00°, β = 60.00°, γ = 60.00°
Fractional positions:
V1 0.0000 0.0000 0.0000
Ru1 0.2500 0.2500 0.2500
Ru2 0.7500 0.7500 0.7500
Pt1 0.5000 0.5000 0.5000

=====

Crystalline Na2SnTeS4 at its relaxed geometry. Source: the Alexandria database, functional GGA-PBE.

Computed properties:
**Symmetry**: I-4 (82)
**ΔE_f (raw)**: -0.586 eV per atom
**Magnetization**: 0.000 μB/atom
**E_tot**: -3.873 eV/atom

a = 6.4238 Å, b = 6.4238 Å, c = 6.4238 Å
α = 108.14°, β = 108.14°, γ = 112.17°
Fractional positions:
Na1 0.0000 0.0000 0.0000
Na2 0.7500 0.2500 0.5000
Sn1 0.2500 0.7500 0.5000
Te1 0.5000 0.5000 0.0000
S1 0.2205 0.3641 0.5131
S2 0.2926 0.7795 0.1436
S3 0.6359 0.1490 0.8564
S4 0.8510 0.7074 0.4869

=====

Crystalline AlCo2Ge2 at its relaxed geometry. Source: the Alexandria database, functional GGA-PBE.

Computed properties:
**Formation energy**: -69 meV/atom
**Symmetry**: P4/mbm (127)
**Magnetization**: 0.000 μB/atom
**E_tot**: -5.507 eV/atom

a = 6.5366 Å, b = 6.5366 Å, c = 3.1474 Å
α = 90.00°, β = 90.00°, γ = 90.00°
Fractional positions:
Al1 0.0000 0.0000 0.0000
Al2 0.5000 0.5000 0.0000
Co1 0.1445 0.3555 0.0000
Co2 0.3555 0.8555 0.0000
Co3 0.6445 0.1445 0.0000
Co4 0.8555 0.6445 0.0000
Ge1 0.1545 0.6545 0.5000
Ge2 0.3455 0.1545 0.5000
Ge3 0.6545 0.8455 0.5000
Ge4 0.8455 0.3455 0.5000

=====

Crystalline ThPaGaAu at its relaxed geometry. Source: the Alexandria database, functional GGA-PBE.

Computed properties:
**Formation energy**: -226 meV/atom
**Symmetry**: F-43m (216)
**Magnetization**: 0.276 μB/atom
**E_tot**: -6.031 eV/atom

a = 5.1694 Å, b = 5.1694 Å, c = 5.1694 Å
α = 60.00°, β = 60.00°, γ = 60.00°
Fractional positions:
Th1 0.0000 0.0000 0.0000
Pa1 0.5000 0.5000 0.5000
Ga1 0.2500 0.2500 0.2500
Au1 0.7500 0.7500 0.7500

=====

Crystalline HfTe2HI at its relaxed geometry. Source: the Alexandria database, functional GGA-PBE.

Computed properties:
**Symmetry**: P4/mmm (123)
**Distance to the lowest polymorph of the same formula**: 0.347 eV/atom
**Magnetization**: 0.000 μB/atom
**E_tot**: -3.730 eV/atom

a = 4.5004 Å, b = 4.5004 Å, c = 5.5338 Å
α = 90.00°, β = 90.00°, γ = 90.00°
Fractional positions:
Hf1 0.0000 0.0000 0.0000
Te1 0.0000 0.5000 0.5000
Te2 0.5000 0.0000 0.5000
H1 0.5000 0.5000 0.5000
I1 0.5000 0.5000 0.0000

=====

Crystalline Y3ZnPt at its relaxed geometry. Source: the Alexandria database, functional GGA-PBE.

Computed properties:
**Formation energy**: -239 meV/atom
**Symmetry**: Pm-3m (221)
**Distance to the lowest polymorph of the same formula**: 0.000 eV/atom
**Magnetization**: 0.261 μB/atom
**E_tot**: -5.580 eV/atom

a = 5.4239 Å, b = 5.4239 Å, c = 5.4239 Å
α = 90.00°, β = 90.00°, γ = 90.00°
Fractional positions:
Y1 0.0000 0.0000 0.5000
Y2 0.0000 0.5000 0.0000
Y3 0.5000 0.0000 0.0000
Zn1 0.5000 0.5000 0.5000
Pt1 0.0000 0.0000 0.0000